[1]
Compound: HoZr2Si
Source: Alexandria via LeMat-Bulk
Functional: GGA-PBE
Structure: optimized geometry

## Properties
- E: -80.213 eV per cell
- Symmetry: R-3m
- N(E_F): 5.927 states/eV/f.u.
- Calculated density: 6.0 g/cm³
- Uncorrected formation energy: 90 meV/atom

a = 3.5607 Å, b = 3.5607 Å, c = 28.4849 Å
α = 90.00°, β = 90.00°, γ = 120.00°
With the nearest neighbours (Å) after each atom.
Element x y z (fractional)
1 Ho 0.0000 0.0000 0.0000  2 Zr 3.17
2 Ho 0.3333 0.6667 0.6667  2 Zr 3.17
3 Ho 0.6667 0.3333 0.3333  2 Zr 3.17
4 Zr 0.0000 0.0000 0.1113  3 Si 2.59
5 Zr 0.0000 0.0000 0.8887  3 Si 2.59
6 Zr 0.3333 0.6667 0.5553  3 Si 2.59
7 Zr 0.3333 0.6667 0.7780  3 Si 2.59
8 Zr 0.6667 0.3333 0.2220  3 Si 2.59
9 Zr 0.6667 0.3333 0.4447  3 Si 2.59
10 Si 0.0000 0.0000 0.5000  6 Zr 2.59
11 Si 0.3333 0.6667 0.1667  6 Zr 2.59
12 Si 0.6667 0.3333 0.8333  6 Zr 2.59



[2]
Compound: MnNi2Mo
Source: Alexandria via LeMat-Bulk
Functional: GGA-PBE
Structure: optimized geometry

## Properties
- Energy above the lowest structure with this stoichiometry: 8.7 kJ/mol of atoms
- E: -62.707 eV per cell
- ΔH_f (0 K): 0.052 eV/atom
- Symmetry: Cm
- N(E_F): 4.462 states/eV/f.u.
- Calculated density: 8.8 g/cm³

a = 8.5796 Å, b = 2.6397 Å, c = 4.5284 Å
α = 90.00°, β = 100.86°, γ = 90.00°
With the nearest neighbours (Å) after each atom.
Element x y z (fractional)
1 Mn 0.0000 0.0000 0.0000  7 Ni 2.53-2.68, 2 Mn 2.64, 3 Mo 2.66-2.67
2 Mn 0.5000 0.5000 0.0000  7 Ni 2.53-2.68, 2 Mn 2.64, 3 Mo 2.66-2.67
3 Ni 0.2458 0.5000 0.2254  3 Mn 2.53-2.58, 5 Ni 2.57-2.66, 4 Mo 2.59-2.65
4 Ni 0.4911 0.0000 0.4813  3 Mo 2.54-2.60, 4 Mn 2.56-2.68, 5 Ni 2.57-2.66
5 Ni 0.7458 0.0000 0.2254  3 Mn 2.53-2.58, 5 Ni 2.57-2.66, 4 Mo 2.59-2.65
6 Ni 0.9911 0.5000 0.4813  3 Mo 2.54-2.60, 4 Mn 2.56-2.68, 5 Ni 2.57-2.66
7 Mo 0.2448 0.0000 0.7176  7 Ni 2.54-2.65, 2 Mo 2.64, 3 Mn 2.66-2.67
8 Mo 0.7448 0.5000 0.7176  7 Ni 2.54-2.65, 2 Mo 2.64, 3 Mn 2.66-2.67



[3]
Compound: Sc2ReW
Source: Alexandria via LeMat-Bulk
Functional: GGA-PBE
Structure: optimized geometry

## Properties
- Energy above the lowest structure with this stoichiometry: 20.1 kJ/mol of atoms
- E: -74.912 eV per cell
- ΔH_f (0 K): 0.152 eV/atom
- Symmetry: Cmm2
- N(E_F): 4.322 states/eV/f.u.
- Calculated density: 10.3 g/cm³

a = 3.2950 Å, b = 4.6922 Å, c = 9.5924 Å
α = 90.00°, β = 90.00°, γ = 90.00°
With the nearest neighbours (Å) after each atom.
Element x y z (fractional)
1 Sc 0.0000 0.0000 0.0000  2 W 2.86, 4 Sc 2.87
2 Sc 0.0000 0.5000 0.3098  2 Re 2.76, 4 Sc 2.87
3 Sc 0.5000 0.0000 0.3098  2 Re 2.76, 4 Sc 2.87
4 Sc 0.5000 0.5000 0.0000  2 W 2.86, 4 Sc 2.87
5 Re 0.0000 0.0000 0.5411  2 W 2.64, 2 Sc 2.76, 4 Re 2.87
6 Re 0.5000 0.5000 0.5411  2 W 2.64, 2 Sc 2.76, 4 Re 2.87
7 W 0.0000 0.5000 0.7559  2 Re 2.64, 2 Sc 2.86, 4 W 2.87
8 W 0.5000 0.0000 0.7559  2 Re 2.64, 2 Sc 2.86, 4 W 2.87



[4]
Compound: MnNbPd5
Source: Alexandria via LeMat-Bulk
Functional: GGA-PBE
Structure: optimized geometry

## Properties
- E: -46.786 eV per cell
- ΔH_f (0 K): -0.226 eV/atom
- Symmetry: P4/mmm
- N(E_F): 2.134 states/eV/f.u.
- Calculated density: 9.8 g/cm³

a = 4.0247 Å, b = 4.0247 Å, c = 7.1144 Å
α = 90.00°, β = 90.00°, γ = 90.00°
With the nearest neighbours (Å) after each atom.
Element x y z (fractional)
1 Mn 0.0000 0.0000 0.0000  8 Pd 2.60
2 Nb 0.5000 0.5000 0.5000  12 Pd 2.78-2.85
3 Pd 0.0000 0.0000 0.5000  8 Pd 2.78, 4 Nb 2.85
4 Pd 0.0000 0.5000 0.2306  2 Mn 2.60, 2 Nb 2.78, 6 Pd 2.78-2.85
5 Pd 0.0000 0.5000 0.7694  2 Mn 2.60, 2 Nb 2.78, 6 Pd 2.78-2.85
6 Pd 0.5000 0.0000 0.2306  2 Mn 2.60, 2 Nb 2.78, 6 Pd 2.78-2.85
7 Pd 0.5000 0.0000 0.7694  2 Mn 2.60, 2 Nb 2.78, 6 Pd 2.78-2.85



[5]
Compound: AlTlHg2
Source: Alexandria via LeMat-Bulk
Functional: GGA-PBE
Structure: optimized geometry

## Properties
- E: -11.939 eV per cell
- ΔH_f (0 K): 0.186 eV/atom
- Symmetry: Cmmm
- N(E_F): 2.043 states/eV/f.u.
- Calculated density: 10.5 g/cm³

a = 6.6705 Å, b = 9.3378 Å, c = 3.2121 Å
α = 90.00°, β = 90.00°, γ = 90.00°
With the nearest neighbours (Å) after each atom.
Element x y z (fractional)
1 Al 0.0000 0.0000 0.0000  2 Al 3.21, 8 Hg 3.29, 2 Tl 3.34
2 Al 0.5000 0.5000 0.0000  2 Al 3.21, 8 Hg 3.29, 2 Tl 3.34
3 Tl 0.0000 0.5000 0.0000  2 Tl 3.21, 8 Hg 3.29, 2 Al 3.34
4 Tl 0.5000 0.0000 0.0000  2 Tl 3.21, 8 Hg 3.29, 2 Al 3.34
5 Hg 0.2500 0.2500 0.5000  4 Hg 3.21-3.34, 4 Tl 3.29, 4 Al 3.29
6 Hg 0.2500 0.7500 0.5000  4 Hg 3.21-3.34, 4 Tl 3.29, 4 Al 3.29
7 Hg 0.7500 0.2500 0.5000  4 Hg 3.21-3.34, 4 Tl 3.29, 4 Al 3.29
8 Hg 0.7500 0.7500 0.5000  4 Hg 3.21-3.34, 4 Tl 3.29, 4 Al 3.29



[6]
Compound: Rb2U2AgSe6
Source: Alexandria via LeMat-Bulk
Functional: GGA-PBE
Structure: optimized geometry

## Properties
- E: -59.907 eV per cell
- Symmetry: C2/m
- N(E_F): 10.312 states/eV/f.u.
- Calculated density: 5.6 g/cm³
- Uncorrected formation energy: -1058 meV/atom

a = 7.2411 Å, b = 7.2411 Å, c = 8.4741 Å
α = 97.28°, β = 97.28°, γ = 121.39°
With the nearest neighbours (Å) after each atom.
Element x y z (fractional)
1 Rb 0.1572 0.8428 0.0000  6 Se 3.45-3.50
2 Rb 0.8428 0.1572 0.0000  6 Se 3.45-3.50
3 U 0.3353 0.6647 0.5000  6 Se 2.79-2.81
4 U 0.6647 0.3353 0.5000  6 Se 2.79-2.81
5 Ag 0.0000 0.0000 0.5000  6 Se 2.91-3.03
6 Se 0.0565 0.4154 0.6923  2 U 2.79-2.81, 1 Ag 3.03
7 Se 0.2883 0.2883 0.3107  2 U 2.81, 1 Ag 2.91
8 Se 0.4154 0.0565 0.6923  2 U 2.79-2.81, 1 Ag 3.03
9 Se 0.5846 0.9435 0.3077  2 U 2.79-2.81, 1 Ag 3.03
10 Se 0.7117 0.7117 0.6893  2 U 2.81, 1 Ag 2.91
11 Se 0.9435 0.5846 0.3077  2 U 2.79-2.81, 1 Ag 3.03



[7]
Compound: Ga3SiRh3
Source: Alexandria via LeMat-Bulk
Functional: GGA-PBE
Structure: optimized geometry

## Properties
- Energy above the lowest structure with this stoichiometry: 3.5 kJ/mol of atoms
- E: -79.942 eV per cell
- Symmetry: C2/m
- N(E_F): 2.560 states/eV/f.u.
- Calculated density: 8.7 g/cm³
- Uncorrected formation energy: -488 meV/atom

a = 5.3961 Å, b = 5.3961 Å, c = 7.4217 Å
α = 90.81°, β = 90.81°, γ = 104.33°
With the nearest neighbours (Å) after each atom.
Element x y z (fractional)
1 Ga 0.1524 0.8476 0.0000  6 Rh 2.48-2.64, 1 Ga 2.60
2 Ga 0.2409 0.7591 0.5000  4 Rh 2.55-2.65, 2 Si 2.61
3 Ga 0.3845 0.3845 0.1442  3 Rh 2.48-2.66, 1 Ga 2.66
4 Ga 0.6155 0.6155 0.8558  3 Rh 2.48-2.66, 1 Ga 2.66
5 Ga 0.7591 0.2409 0.5000  4 Rh 2.55-2.65, 2 Si 2.61
6 Ga 0.8476 0.1524 0.0000  6 Rh 2.48-2.64, 1 Ga 2.60
7 Si 0.2981 0.2981 0.5497  4 Rh 2.36-2.62, 2 Ga 2.61
8 Si 0.7019 0.7019 0.4503  4 Rh 2.36-2.62, 2 Ga 2.61
9 Rh 0.0600 0.0600 0.3058  2 Si 2.37-2.62, 5 Ga 2.48-2.64
10 Rh 0.1142 0.4771 0.7901  1 Si 2.36, 2 Ga 2.48-2.54
11 Rh 0.4771 0.1142 0.7901  1 Si 2.36, 2 Ga 2.48-2.54
12 Rh 0.5229 0.8858 0.2099  1 Si 2.36, 2 Ga 2.48-2.54
13 Rh 0.8858 0.5229 0.2099  1 Si 2.36, 2 Ga 2.48-2.54
14 Rh 0.9400 0.9400 0.6942  2 Si 2.37-2.62, 5 Ga 2.48-2.64



[8]
Compound: PbCN2
Source: Alexandria via LeMat-Bulk
Functional: GGA-PBE
Structure: optimized geometry

## Properties
- Energy above the lowest structure with this stoichiometry: 0.0 kJ/mol of atoms
- E: -87.439 eV per cell
- Symmetry: R-3m
- N(E_F): 0.000 states/eV/f.u.
- Calculated density: 5.8 g/cm³
- Uncorrected formation energy: 109 meV/atom

a = 4.0089 Å, b = 4.0089 Å, c = 15.3670 Å
α = 90.00°, β = 90.00°, γ = 120.00°
With the nearest neighbours (Å) after each atom.
Element x y z (fractional)
1 Pb 0.0000 0.0000 0.0000  6 N 2.67
2 Pb 0.3333 0.6667 0.6667  6 N 2.67
3 Pb 0.6667 0.3333 0.3333  6 N 2.67
4 C 0.0000 0.0000 0.5000  2 N 1.24
5 C 0.3333 0.6667 0.1667  2 N 1.24
6 C 0.6667 0.3333 0.8333  2 N 1.24
7 N 0.0000 0.0000 0.4193  1 C 1.24
8 N 0.0000 0.0000 0.5807  1 C 1.24
9 N 0.3333 0.6667 0.0860  1 C 1.24
10 N 0.3333 0.6667 0.2473  1 C 1.24
11 N 0.6667 0.3333 0.7527  1 C 1.24
12 N 0.6667 0.3333 0.9140  1 C 1.24



[9]
Compound: PuSi2Ir
Source: Alexandria via LeMat-Bulk
Functional: GGA-PBE
Structure: optimized geometry

## Properties
- E: -110.632 eV per cell
- Symmetry: R-3m
- N(E_F): 9.294 states/eV/f.u.
- Calculated density: 11.5 g/cm³
- Uncorrected formation energy: -710 meV/atom

a = 4.0791 Å, b = 4.0791 Å, c = 14.7914 Å
α = 90.00°, β = 90.00°, γ = 120.00°
With the nearest neighbours (Å) after each atom.
Element x y z (fractional)
1 Pu 0.0000 0.0000 0.0000  8 Si 2.94-3.17
2 Pu 0.3333 0.6667 0.6667  8 Si 2.94-3.17
3 Pu 0.6667 0.3333 0.3333  8 Si 2.94-3.17
4 Si 0.0000 0.0000 0.2142  3 Ir 2.46, 3 Si 2.74
5 Si 0.0000 0.0000 0.7858  3 Ir 2.46, 3 Si 2.74
6 Si 0.3333 0.6667 0.4524  3 Ir 2.46, 3 Si 2.74
7 Si 0.3333 0.6667 0.8809  3 Ir 2.46, 3 Si 2.74
8 Si 0.6667 0.3333 0.1191  3 Ir 2.46, 3 Si 2.74
9 Si 0.6667 0.3333 0.5476  3 Ir 2.46, 3 Si 2.74
10 Ir 0.0000 0.0000 0.5000  6 Si 2.46
11 Ir 0.3333 0.6667 0.1667  6 Si 2.46
12 Ir 0.6667 0.3333 0.8333  6 Si 2.46



[10]
Compound: SrIn3Pd2
Source: Alexandria via LeMat-Bulk
Functional: GGA-PBE
Structure: optimized geometry

## Properties
- Energy above the lowest structure with this stoichiometry: 0.0 kJ/mol of atoms
- E: -70.562 eV per cell
- ΔH_f (0 K): -0.540 eV/atom
- Symmetry: C2/m
- N(E_F): 2.433 states/eV/f.u.
- Calculated density: 7.5 g/cm³

a = 9.2952 Å, b = 9.2952 Å, c = 11.2040 Å
α = 108.48°, β = 108.48°, γ = 28.02°
With the nearest neighbours (Å) after each atom.
Element x y z (fractional)
1 Sr 0.0000 0.0000 0.0000  6 Pd 3.43-3.50, 6 In 3.44-3.71
2 Sr 0.1591 0.1591 0.7064  6 Pd 3.43-3.60, 8 In 3.47-3.78
3 Sr 0.8409 0.8409 0.2936  6 Pd 3.43-3.60, 8 In 3.47-3.78
4 In 0.0418 0.0418 0.3472  4 Pd 2.72-2.81
5 In 0.2182 0.2182 0.3909  4 Pd 2.68-2.87
6 In 0.3280 0.3280 0.0400  4 Pd 2.76-2.89, 1 In 3.02
7 In 0.3739 0.3739 0.8039  4 Pd 2.74-2.85, 1 In 3.02
8 In 0.5000 0.5000 0.5000  4 Pd 2.71-2.99
9 In 0.6261 0.6261 0.1961  4 Pd 2.74-2.85, 1 In 3.02
10 In 0.6720 0.6720 0.9600  4 Pd 2.76-2.89, 1 In 3.02
11 In 0.7818 0.7818 0.6091  4 Pd 2.68-2.87
12 In 0.9582 0.9582 0.6528  4 Pd 2.72-2.81
13 Pd 0.2007 0.2007 0.1302  6 In 2.79-2.89
14 Pd 0.3644 0.3644 0.5547  7 In 2.68-2.87
15 Pd 0.4743 0.4743 0.2227  5 In 2.72-2.99
16 Pd 0.5257 0.5257 0.7773  5 In 2.72-2.99
17 Pd 0.6356 0.6356 0.4453  7 In 2.68-2.87
18 Pd 0.7993 0.7993 0.8698  6 In 2.79-2.89